Entry 1:
DFT (GGA-PBE) results for a geometry-optimized LiAs4Cl structure.

The space group is F-43m (No. 216) and the conventional cell measures 8.559, 8.559 and 8.559 Å, with angles of 90.00, 90.00 and 90.00 degrees. The distinct sites, in fractional coordinates, are Li at (0.000, 0.000, 0.000), As at (0.102, 0.102, 0.602) and Cl at (0.250, 0.250, 0.250).


Entry 2:
DFT (GGA-PBE) results for a geometry-optimized Li2AsCl structure.

The space group is Cmmm (No. 65) and the conventional cell measures 4.130, 4.511 and 7.262 Å, with angles of 90.00, 90.00 and 90.00 degrees. The distinct sites, in fractional coordinates, are Li at (0.000, 0.000, 0.217), As at (0.000, 0.500, 0.500) and Cl at (0.000, 0.500, 0.000).


Entry 3:
DFT (GGA-PBE) results for a geometry-optimized Li12As3Cl5 structure.

The space group is Ia-3d (No. 230) and the conventional cell measures 14.650, 14.650 and 14.650 Å, with angles of 90.00, 90.00 and 90.00 degrees. The distinct sites, in fractional coordinates, are Li at (0.018, 0.071, 0.654), As at (0.000, 0.250, 0.125), Cl at (0.000, 0.000, 0.000) and Cl at (0.000, 0.250, 0.375).


Entry 4:
DFT (GGA-PBE) results for a geometry-optimized Li2AsCl structure.

The space group is Immm (No. 71) and the conventional cell measures 2.988, 8.028 and 9.523 Å, with angles of 90.00, 90.00 and 90.00 degrees. The distinct sites, in fractional coordinates, are Li at (0.000, 0.219, 0.000), As at (0.000, 0.000, 0.500) and Cl at (0.000, 0.500, 0.500).


Entry 5:
DFT (GGA-PBE) results for a geometry-optimized LiAs3Cl structure.

The space group is Pm-3m (No. 221) and the conventional cell measures 4.660, 4.660 and 4.660 Å, with angles of 90.00, 90.00 and 90.00 degrees. The distinct sites, in fractional coordinates, are Li at (0.000, 0.000, 0.000), As at (0.000, 0.000, 0.500) and Cl at (0.500, 0.500, 0.500).


Entry 6:
DFT (GGA-PBE) results for a geometry-optimized Li2AsCl structure.

The space group is Fm-3m (No. 225) and the conventional cell measures 6.785, 6.785 and 6.785 Å, with angles of 90.00, 90.00 and 90.00 degrees. The distinct sites, in fractional coordinates, are Li at (0.250, 0.250, 0.250), As at (0.000, 0.000, 0.000) and Cl at (0.000, 0.000, 0.500).


no.,uncorrected formation energy (eV per formula unit)
1,-0.92
2,-3.66
3,-21.93
4,-2.92
5,2.86
6,-1.69